No. 1
VASP calculation (PBE-GGA) on crystalline Pm5Pa3Se8 at its relaxed geometry.

Lattice parameters (Å, degrees): 8.2290 8.2290 20.6531 90.00 90.00 120.00
Space group R-3m (No. 166, hexagonal axes)
Asymmetric unit:
1 Pm 0.0000 0.0000 0.0000 [3 per cell]
2 Pm 0.0000 0.0000 0.5000 [3 per cell]
3 Pm 0.0000 0.5000 0.0000 [9 per cell]
4 Pa 0.0000 0.5000 0.5000 [9 per cell]
5 Se 0.0000 0.0000 0.2484 [6 per cell]
6 Se 0.0029 0.5015 0.7514 [18 per cell]

Values from the calculation:
Formation energy (no corrections), meV/atom: -1574
Calculated total energy, eV per atom: -6.581
Crystal system: trigonal
Total moment, μB/atom: 0.168

No. 2
VASP calculation (PBE-GGA) on crystalline PrYTmHg at its relaxed geometry.

Lattice parameters (Å, degrees): 7.741 7.741 7.741 90.00 90.00 90.00
Space group F-43m (No. 216)
Asymmetric unit:
1 Pr 0.000 0.000 0.000 [4 per cell]
2 Y 0.000 0.000 0.500 [4 per cell]
3 Tm 0.250 0.250 0.750 [4 per cell]
4 Hg 0.250 0.250 0.250 [4 per cell]

Values from the calculation:
ΔE_f, eV/atom: -0.07
Calculated total energy, eV per atom: -4.078
Crystal system: cubic
Polymorph energy (0 for the lowest one), meV/atom: 171
Total moment, μB/atom: 0.005

No. 3
VASP calculation (PBE-GGA) on crystalline PuTeO at its relaxed geometry.

Lattice parameters (Å, degrees): 3.8670 3.8670 4.8553 90.00 90.00 120.00
Space group P-6m2 (No. 187)
Asymmetric unit:
1 Pu 0.0000 0.0000 0.0000 [1 per cell]
2 Te 0.6667 0.3333 0.5000 [1 per cell]
3 O 0.3333 0.6667 0.0000 [1 per cell]

Values from the calculation:
Formation energy (no corrections), meV/atom: -1909
Calculated total energy, eV per atom: -9.386
Crystal system: hexagonal
Total moment, μB/atom: 1.390

No. 4
VASP calculation (PBE-GGA) on crystalline ErBe4Au8 at its relaxed geometry.

Lattice parameters (Å, degrees): 8.857 8.857 5.278 90.00 90.00 90.00
Space group I4/mmm (No. 139)
Asymmetric unit:
1 Er 0.000 0.000 0.000 [2 per cell]
2 Be 0.250 0.250 0.250 [8 per cell]
3 Au 0.000 0.223 0.500 [8 per cell]
4 Au 0.000 0.325 0.000 [8 per cell]

Values from the calculation:
ΔE_f, eV/atom: -0.28
Calculated total energy, eV per atom: -3.793
Crystal system: tetragonal
Polymorph energy (0 for the lowest one), meV/atom: 0
Total moment, μB/atom: 0.000

Copy entry 3 word for word.
VASP calculation (PBE-GGA) on crystalline PuTeO at its relaxed geometry.

Lattice parameters (Å, degrees): 3.8670 3.8670 4.8553 90.00 90.00 120.00
Space group P-6m2 (No. 187)
Asymmetric unit:
1 Pu 0.0000 0.0000 0.0000 [1 per cell]
2 Te 0.6667 0.3333 0.5000 [1 per cell]
3 O 0.3333 0.6667 0.0000 [1 per cell]

Values from the calculation:
Formation energy (no corrections), meV/atom: -1909
Calculated total energy, eV per atom: -9.386
Crystal system: hexagonal
Total moment, μB/atom: 1.390